# 1
The following is a DFT calculation (PBE-GGA) of a relaxed LiBi2Pd2 crystal.

Values from the calculation:
space-group type = P4/mbm
total magnetic moment = 0.00 μB/cell

Lattice parameters (Å, degrees): 7.6507 7.6507 3.7006 90.00 90.00 90.00
Element x y z (fractional)
Bi 0.6666 0.8334 0.5000
Bi 0.1666 0.6666 0.5000
Bi 0.3334 0.1666 0.5000
Bi 0.8334 0.3334 0.5000
Pd 0.6337 0.1337 0.0000
Pd 0.8663 0.6337 0.0000
Pd 0.1337 0.3663 0.0000
Pd 0.3663 0.8663 0.0000
Li 0.0000 0.0000 0.0000
Li 0.5000 0.5000 0.0000

# 2
The following is a DFT calculation (PBE-GGA) of a relaxed LiBiPd4 crystal.

Values from the calculation:
space-group type = F-43m
total magnetic moment = 0.00 μB/cell

Lattice parameters (Å, degrees): 5.3535 5.3535 5.3535 60.00 60.00 60.00
Element x y z (fractional)
Bi 0.2500 0.2500 0.2500
Pd 0.6251 0.6251 0.1247
Pd 0.6251 0.6251 0.6251
Pd 0.1247 0.6251 0.6251
Pd 0.6251 0.1247 0.6251
Li 0.0000 0.0000 0.0000

| no. | calculated formation energy (eV per atom) |
| --- | --- |
| 1 | -0.334 |
| 2 | -0.218 |